Record 1
This record from Alexandria describes HoAl2Rh after structural relaxation. The functional is GGA-PBE.

```
32
Lattice="5.562 0.000 0.000 0.000 7.144 0.000 0.000 0.000 15.027" Properties=species:S:1:pos:R:3 pbc="T T T"
Ho 2.548 1.786 2.076
Ho 5.329 5.358 5.437
Ho 3.014 5.358 12.951
Ho 0.233 1.786 9.590
Ho 4.093 1.786 5.995
Ho 1.312 5.358 1.519
Ho 1.468 5.358 9.033
Ho 4.249 1.786 13.508
Al 5.195 0.365 3.178
Al 2.414 6.780 4.336
Al 0.367 3.937 11.850
Al 3.148 3.208 10.691
Al 0.367 6.780 11.850
Al 3.148 0.365 10.691
Al 5.195 3.208 3.178
Al 2.414 3.937 4.336
Al 4.180 3.989 0.625
Al 1.399 3.156 6.889
Al 1.381 0.417 14.402
Al 4.162 6.728 8.138
Al 1.381 3.156 14.402
Al 4.162 3.989 8.138
Al 4.180 6.728 0.625
Al 1.399 0.417 6.889
Rh 1.117 1.786 4.681
Rh 3.898 5.358 2.833
Rh 4.445 5.358 10.346
Rh 1.664 1.786 12.194
Rh 5.497 1.786 1.076
Rh 2.716 5.358 6.437
Rh 0.065 5.358 13.951
Rh 2.845 1.786 8.590
```

Space group = No. 62
Electronic total energy = -5.69 eV per atom
Energy of formation from the pure elements = -831.4 meV/atom

=====

Record 2
This record from Alexandria describes HoAl9Rh2 after structural relaxation. The functional is GGA-PBE.

```
24
Lattice="-5.191 4.285 -1.236 -3.972 -1.426 -7.211 -7.368 -2.609 2.951" Properties=species:S:1:pos:R:3 pbc="T T T"
Ho -2.595 2.143 -0.618
Ho -6.967 -0.946 -2.439
Al -9.563 1.196 -3.057
Al 0.000 0.000 0.000
Al -8.707 -3.072 -4.650
Al -5.816 1.665 -0.368
Al -8.489 1.139 -0.439
Al -8.630 -0.403 -5.197
Al -11.374 0.519 -5.123
Al -4.568 -0.755 -0.232
Al -6.391 -1.838 -5.802
Al -6.955 -0.541 1.064
Al -12.195 0.233 -2.667
Al -3.747 -0.469 -2.689
Al -8.442 -2.552 0.333
Al -4.905 0.174 -5.071
Al -9.528 -3.358 -2.194
Al -4.995 1.951 -2.825
Al -7.143 1.608 -4.466
Al -9.976 -0.872 -1.170
Rh -11.061 1.436 -0.671
Rh -9.362 2.028 -5.752
Rh -7.377 2.741 -2.147
Rh -10.451 -1.419 -3.659
```

Space group = No. 141
Electronic total energy = -4.94 eV per atom
Energy of formation from the pure elements = -529.9 meV/atom

=====

Record 3
This record from Alexandria describes HoAl3Rh4 after structural relaxation. The functional is GGA-PBE.

```
8
Lattice="-3.324 -1.980 2.024 -2.393 -2.970 -2.126 2.641 -6.948 2.252" Properties=species:S:1:pos:R:3 pbc="T T T"
Rh -3.952 -7.008 0.786
Rh 0.022 -7.767 1.859
Rh 0.875 -4.891 1.364
Rh -3.098 -4.131 0.291
Ho 0.000 0.000 0.000
Al -0.705 -3.050 0.570
Al -2.372 -8.849 1.580
Al -1.538 -5.949 1.075
```

Space group = No. 166
Electronic total energy = -6.65 eV per atom
Energy of formation from the pure elements = -998.5 meV/atom

=====

Record 4
This record from Alexandria describes HoAl2Rh after structural relaxation. The functional is GGA-PBE.

```
4
Lattice="-1.000 2.551 1.702 -3.044 1.030 -0.276 -3.699 -4.026 6.917" Properties=species:S:1:pos:R:3 pbc="T T T"
Rh 0.000 0.000 0.000
Ho -3.871 -0.222 4.171
Al -5.922 -0.589 6.572
Al -1.821 0.144 1.771
```

Space group = No. 166
Electronic total energy = -5.19 eV per atom
Energy of formation from the pure elements = -332.1 meV/atom

=====

Record 5
This record from Alexandria describes HoAlRh after structural relaxation. The functional is GGA-PBE.

```
12
Lattice="-3.696 -3.025 5.137 6.957 -0.388 0.808 -1.686 6.508 -0.186" Properties=species:S:1:pos:R:3 pbc="T T T"
Ho -0.123 -0.409 3.467
Ho 0.882 4.357 0.806
Ho -0.966 2.845 3.374
Ho 3.356 -0.603 3.871
Rh 5.330 2.672 1.034
Rh -1.816 -2.560 4.373
Rh 1.571 1.741 2.561
Rh 5.077 -0.853 1.572
Al 3.465 0.970 1.080
Al -0.014 1.236 0.718
Al 1.589 1.859 5.042
Al 3.436 3.443 2.515
```

Space group = No. 70
Electronic total energy = -5.88 eV per atom
Energy of formation from the pure elements = -658.7 meV/atom

=====

Record 6
This record from Alexandria describes HoSc2AlRh4 after structural relaxation. The functional is GGA-PBE.

```
8
Lattice="-4.129 1.777 0.689 -2.159 -0.723 3.936 1.034 6.518 4.391" Properties=species:S:1:pos:R:3 pbc="T T T"
Ho 0.000 0.000 0.000
Sc -3.997 5.567 6.710
Sc -1.256 2.005 2.306
Al -2.627 3.786 4.508
Rh -1.507 5.991 5.527
Rh -5.088 3.418 5.717
Rh -0.166 4.154 3.299
Rh -3.746 1.581 3.489
```

Space group = No. 166
Electronic total energy = -7.28 eV per atom
Energy of formation from the pure elements = -984.2 meV/atom

=====

Record 7
This record from Alexandria describes Ho2ScAl2Rh5 after structural relaxation. The functional is GGA-PBE.

```
20
Lattice="3.427 0.000 0.000 0.000 10.027 0.000 0.000 0.000 10.027" Properties=species:S:1:pos:R:3 pbc="T T T"
Ho 0.000 6.752 1.739
Ho 0.000 3.274 8.287
Ho 0.000 1.739 3.274
Ho 0.000 8.287 6.752
Sc 0.000 0.000 0.000
Sc 0.000 5.013 5.013
Al 0.000 1.255 6.268
Al 0.000 8.772 3.758
Al 0.000 6.268 8.772
Al 0.000 3.758 1.255
Rh 1.714 2.087 0.684
Rh 1.714 7.939 9.342
Rh 1.714 0.684 7.939
Rh 1.714 7.101 4.329
Rh 1.714 9.342 2.087
Rh 1.714 2.926 5.697
Rh 1.714 5.697 7.101
Rh 1.714 4.329 2.926
Rh 1.714 5.013 0.000
Rh 1.714 0.000 5.013
```

Space group = No. 127
Electronic total energy = -6.90 eV per atom
Energy of formation from the pure elements = -927.0 meV/atom

=====

Record 8
This record from Alexandria describes Ho2AlSi4Rh3 after structural relaxation. The functional is GGA-PBE.

```
10
Lattice="4.045 0.000 0.000 0.000 4.045 0.000 0.000 0.000 10.278" Properties=species:S:1:pos:R:3 pbc="T T T"
Ho 2.023 0.000 2.499
Ho 0.000 2.023 7.780
Al 2.023 2.023 5.139
Si 2.023 2.023 0.000
Si 0.000 0.000 0.000
Si 2.023 0.000 6.646
Si 0.000 2.023 3.632
Rh 0.000 0.000 5.139
Rh 2.023 0.000 8.999
Rh 0.000 2.023 1.279
```

Space group = No. 115
Electronic total energy = -6.59 eV per atom